The following is a PBE calculation of an optimized crystal structure of Hf6InFe2, from Alexandria via LeMat-Bulk.

Lattice parameters (Å, degrees): 7.7717 7.7717 7.7717 102.70 111.86 114.07
With the nearest neighbours (Å) after each atom.
Fractional positions:
Hf  0.5113  0.6975  0.8138  3 Fe 2.66-2.87
Hf  0.4887  0.3025  0.1862  3 Fe 2.66-2.87
Hf  0.1164  0.3025  0.8138  3 Fe 2.66-2.87
Hf  0.8836  0.6975  0.1862  3 Fe 2.66-2.87
Hf  0.7894  0.7656  0.5549  1 Fe 2.52
Hf  0.2106  0.2344  0.4451  1 Fe 2.52
Hf  0.2106  0.7656  0.9762  1 Fe 2.52
Hf  0.7894  0.2344  0.0238  1 Fe 2.52
Hf  0.6902  0.3618  0.6716  3 Fe 2.49-2.73
Hf  0.3098  0.6382  0.3284  3 Fe 2.49-2.73
Hf  0.3098  0.9813  0.6716  3 Fe 2.49-2.73
Hf  0.6902  0.0187  0.3284  3 Fe 2.49-2.73
In  0.0000  0.5000  0.5000  12 Hf 3.10-3.20
In  0.0000  0.0000  0.0000  2 Fe 2.91, 8 Hf 2.92-3.03
Fe  0.5000  0.3673  0.8673  6 Hf 2.49-2.66, 1 Fe 2.58
Fe  0.5000  0.6327  0.1327  6 Hf 2.49-2.66, 1 Fe 2.58
Fe  0.6653  0.0000  0.6653  6 Hf 2.52-2.73
Fe  0.3347  0.0000  0.3347  6 Hf 2.52-2.73

Results
The formation energy comes out at -14.5 kJ per mole of atoms. Its space group is Immm. The calculation puts the spin magnetization at 0.0 μB per cell.